--- a ---
A relaxed CrRuW2 crystal, computed with PBE-GGA.

Lattice parameters (Å, degrees): 2.7389 2.7389 27.4549 90.00 90.00 120.00
Space group R3m (No. 160, hexagonal axes)
Asymmetric unit:
Cr: 0.0000 0.0000 0.0000
Ru: 0.0000 0.0000 0.7398
W: 0.0000 0.0000 0.2495
W: 0.0000 0.0000 0.4915

Summary:
As for the volume: 178.4 Å³/cell. As for the crystal system: trigonal.



--- b ---
A relaxed CrRuW2 crystal, computed with PBE-GGA.

Lattice parameters (Å, degrees): 3.060 3.060 6.263 90.00 90.00 90.00
Space group P4mm (No. 99)
Asymmetric unit:
Cr: 0.000 0.000 0.000
Ru: 0.500 0.500 0.260
W: 0.000 0.000 0.512
W: 0.500 0.500 0.785

Summary:
As for the volume: 58.6 Å³/cell. As for the crystal system: tetragonal.



Compare the structures above. Which one is the most stable? b is.